No. 1
HoMnIn (PBE, relaxed); uncorrected energy = -5.593 eV per atom; space group = No. 187; spin magnetization = 1.1837 μB per atom
1.0
4.766 0.000 0.000
-2.383 4.127 0.000
0.000 0.000 3.479
Mn Ho In
1 1 1
Cartesian
2.383 1.376 1.740 Mn
0.000 0.000 0.000 Ho
0.000 2.752 1.740 In

***

No. 2
MnNi2C (PBE, relaxed); uncorrected energy = -6.407 eV per atom; space group = No. 122; spin magnetization = 0.0187 μB per atom
1.0
4.027 0.000 0.000
0.000 4.027 0.000
2.014 2.014 5.819
Ni C Mn
4 2 2
Cartesian
2.644 1.007 1.455 Ni
1.384 3.020 1.455 Ni
3.020 3.397 4.364 Ni
5.034 4.657 4.364 Ni
2.014 2.014 0.000 C
2.014 4.027 2.909 C
0.000 0.000 0.000 Mn
4.027 2.014 2.909 Mn

***

No. 3
Cs2Cd12Ag3Au (PBE, relaxed); uncorrected energy = -1.329 eV per atom; space group = No. 166; spin magnetization = 0.0000 μB per atom
1.0
-3.232 -6.655 8.801
0.908 -10.708 4.087
4.208 -6.002 8.857
Cs Cd Ag Au
2 12 3 1
Cartesian
1.232 -15.274 14.216 Cs
0.653 -8.090 7.530 Cs
2.460 -12.063 12.533 Cd
-0.710 -18.314 15.123 Cd
3.660 -17.931 15.157 Cd
-0.511 -12.324 12.511 Cd
1.228 -15.550 17.926 Cd
1.142 -13.942 10.629 Cd
-0.575 -11.302 9.213 Cd
2.595 -5.051 6.622 Cd
-1.776 -5.434 6.589 Cd
2.395 -11.041 9.235 Cd
0.657 -7.815 3.820 Cd
0.742 -9.423 11.117 Cd
-1.616 -3.327 4.401 Ag
0.454 -5.354 2.044 Ag
2.104 -3.001 4.429 Ag
0.000 0.000 0.000 Au